# 1
VASP calculation (PBE) on an optimized crystal structure of TcSb2Br.

Cell and atoms, written as CIF:
```
data_TcSb2Br
_space_group_name_H-M_alt 'P 1'
_space_group_IT_number 1
_cell_length_a 3.451
_cell_length_b 5.390
_cell_length_c 10.262
_cell_angle_alpha 90.00
_cell_angle_beta 90.00
_cell_angle_gamma 90.00
loop_
_space_group_symop_operation_xyz
'x,y,z'
loop_
_atom_site_label
_atom_site_type_symbol
_atom_site_fract_x
_atom_site_fract_y
_atom_site_fract_z
_atom_site_occupancy
Tc1 Tc 0.000 0.000 0.000 1
Tc2 Tc 0.000 0.500 0.500 1
Sb1 Sb 0.000 0.000 0.515 1
Sb2 Sb 0.000 0.500 0.015 1
Sb3 Sb 0.500 0.000 0.808 1
Sb4 Sb 0.500 0.500 0.308 1
Br1 Br 0.500 0.000 0.203 1
Br2 Br 0.500 0.500 0.703 1
```

Results
space-group type = Amm2
E above lowest polymorph = 13.76 kJ/mol of atoms
electronic total energy = -19.66 eV/f.u.
Fermi-level density of states = 1.8 states/eV/f.u.


# 2
VASP calculation (PBE) on an optimized crystal structure of Tc3SbBr.

Cell and atoms, written as CIF:
```
data_Tc3SbBr
_space_group_name_H-M_alt 'P 1'
_space_group_IT_number 1
_cell_length_a 4.616
_cell_length_b 4.616
_cell_length_c 4.616
_cell_angle_alpha 90.00
_cell_angle_beta 90.00
_cell_angle_gamma 90.00
loop_
_space_group_symop_operation_xyz
'x,y,z'
loop_
_atom_site_label
_atom_site_type_symbol
_atom_site_fract_x
_atom_site_fract_y
_atom_site_fract_z
_atom_site_occupancy
Tc1 Tc 0.000 0.000 0.500 1
Tc2 Tc 0.000 0.500 0.000 1
Tc3 Tc 0.500 0.000 0.000 1
Sb1 Sb 0.500 0.500 0.500 1
Br1 Br 0.000 0.000 0.000 1
```

Results
space-group type = Pm-3m
E above lowest polymorph = 0.00 kJ/mol of atoms
electronic total energy = -29.23 eV/f.u.
Fermi-level density of states = 7.0 states/eV/f.u.


# 3
VASP calculation (PBE) on an optimized crystal structure of TcSb2Br.

Cell and atoms, written as CIF:
```
data_TcSb2Br
_space_group_name_H-M_alt 'P 1'
_space_group_IT_number 1
_cell_length_a 3.197
_cell_length_b 4.842
_cell_length_c 12.238
_cell_angle_alpha 90.00
_cell_angle_beta 90.00
_cell_angle_gamma 90.00
loop_
_space_group_symop_operation_xyz
'x,y,z'
loop_
_atom_site_label
_atom_site_type_symbol
_atom_site_fract_x
_atom_site_fract_y
_atom_site_fract_z
_atom_site_occupancy
Tc1 Tc 0.000 0.000 0.000 1
Tc2 Tc 0.500 0.500 0.500 1
Sb1 Sb 0.000 0.500 0.318 1
Sb2 Sb 0.000 0.500 0.682 1
Sb3 Sb 0.500 0.000 0.182 1
Sb4 Sb 0.500 0.000 0.818 1
Br1 Br 0.000 0.000 0.500 1
Br2 Br 0.500 0.500 0.000 1
```

Results
space-group type = Immm
E above lowest polymorph = 34.13 kJ/mol of atoms
electronic total energy = -18.81 eV/f.u.
Fermi-level density of states = 4.3 states/eV/f.u.


The following energy relative to the elements, uncorrected values (in kJ per mole of atoms) correspond, in order, to the records above: 15.1; 147.9; 35.4.
The following total magnetization values (in μB/f.u.) correspond, in order, to the records above: 0.000; 1.526; 0.003.